DFT (PBE) results for a relaxed structure of Rb2Dy2PaTe6.

Output
raw formation energy	-1.24	eV per atom
final energy	-53.12	eV/cell

a = 7.7085 Å, b = 7.7085 Å, c = 9.1746 Å
α = 98.12°, β = 98.12°, γ = 119.96°
Closest atoms and distances in Å follow each position.
Element x y z (fractional)
Rb1 0.1668 0.8332 0.0000  6 Te 3.70-3.71
Rb2 0.8332 0.1668 0.0000  6 Te 3.70-3.71
Dy1 0.3326 0.6674 0.5000  6 Te 3.11
Dy2 0.6674 0.3326 0.5000  6 Te 3.11
Pa1 0.0000 0.0000 0.5000  6 Te 3.09-3.10
Te1 0.0683 0.3989 0.6982  1 Pa 3.09, 2 Dy 3.11
Te2 0.2676 0.2676 0.3030  1 Pa 3.10, 2 Dy 3.11
Te3 0.3989 0.0683 0.6982  1 Pa 3.09, 2 Dy 3.11
Te4 0.6011 0.9317 0.3018  1 Pa 3.09, 2 Dy 3.11
Te5 0.7324 0.7324 0.6970  1 Pa 3.10, 2 Dy 3.11
Te6 0.9317 0.6011 0.3018  1 Pa 3.09, 2 Dy 3.11